w) Below is a relaxed Li12HgPd6 crystal, with properties calculated at the GGA-PBE level.

Output
Symmetry: R-3
Density of states at the Fermi level: 6.66 states/eV/cell
Magnetization: 0.0 Bohr magnetons per cell

Cell: 7.268 7.268 7.268 Å, 110.70 110.70 110.70°
Sites, in units of the cell vectors:
Li (0.013, 0.172, 0.299)
Li (0.172, 0.299, 0.013)
Li (0.239, 0.683, 0.614)
Li (0.299, 0.013, 0.172)
Li (0.317, 0.386, 0.761)
Li (0.386, 0.761, 0.317)
Li (0.614, 0.239, 0.683)
Li (0.683, 0.614, 0.239)
Li (0.701, 0.987, 0.828)
Li (0.761, 0.317, 0.386)
Li (0.828, 0.701, 0.987)
Li (0.987, 0.828, 0.701)
Hg (0.500, 0.500, 0.500)
Pd (0.061, 0.549, 0.849)
Pd (0.151, 0.939, 0.451)
Pd (0.451, 0.151, 0.939)
Pd (0.549, 0.849, 0.061)
Pd (0.849, 0.061, 0.549)
Pd (0.939, 0.451, 0.151)


x) Below is a relaxed Li12HgPd6 crystal, with properties calculated at the GGA-PBE level.

Output
Symmetry: R-3
Density of states at the Fermi level: 5.50 states/eV/cell
Magnetization: 0.0 Bohr magnetons per cell

Cell: 6.729 6.729 6.729 Å, 90.97 90.97 90.97°
Sites, in units of the cell vectors:
Li (0.023, 0.309, 0.924)
Li (0.076, 0.977, 0.691)
Li (0.116, 0.349, 0.483)
Li (0.309, 0.924, 0.023)
Li (0.349, 0.483, 0.116)
Li (0.483, 0.116, 0.349)
Li (0.517, 0.884, 0.651)
Li (0.651, 0.517, 0.884)
Li (0.691, 0.076, 0.977)
Li (0.884, 0.651, 0.517)
Li (0.924, 0.023, 0.309)
Li (0.977, 0.691, 0.076)
Hg (0.500, 0.500, 0.500)
Pd (0.215, 0.621, 0.770)
Pd (0.230, 0.785, 0.379)
Pd (0.379, 0.230, 0.785)
Pd (0.621, 0.770, 0.215)
Pd (0.770, 0.215, 0.621)
Pd (0.785, 0.379, 0.230)


Least stable structure: x)


w) Below is a relaxed LiHg4Pd7 crystal, with properties calculated at the GGA-PBE level.

Output
Symmetry: P-1
Density of states at the Fermi level: 3.28 states/eV/cell
Magnetization: 0.0 Bohr magnetons per cell

Cell: 4.671 5.069 9.575 Å, 103.99 104.07 90.08°
Sites, in units of the cell vectors:
Li (0.000, 0.000, 0.000)
Hg (0.138, 0.829, 0.276)
Hg (0.384, 0.622, 0.771)
Hg (0.616, 0.378, 0.229)
Hg (0.862, 0.171, 0.724)
Pd (0.000, 0.500, 0.000)
Pd (0.218, 0.387, 0.435)
Pd (0.292, 0.962, 0.585)
Pd (0.456, 0.200, 0.913)
Pd (0.544, 0.800, 0.087)
Pd (0.708, 0.038, 0.415)
Pd (0.782, 0.613, 0.565)


x) Below is a relaxed LiHg4Pd7 crystal, with properties calculated at the GGA-PBE level.

Output
Symmetry: C2/m
Density of states at the Fermi level: 4.59 states/eV/cell
Magnetization: 0.0 Bohr magnetons per cell

Cell: 5.643 5.643 10.223 Å, 116.05 116.05 50.70°
Sites, in units of the cell vectors:
Li (0.000, 0.000, 0.000)
Hg (0.271, 0.271, 0.692)
Hg (0.407, 0.407, 0.226)
Hg (0.593, 0.593, 0.774)
Hg (0.729, 0.729, 0.308)
Pd (0.036, 0.036, 0.379)
Pd (0.199, 0.199, 0.923)
Pd (0.346, 0.346, 0.465)
Pd (0.500, 0.500, 0.000)
Pd (0.654, 0.654, 0.535)
Pd (0.801, 0.801, 0.077)
Pd (0.964, 0.964, 0.621)


Least stable structure: x)


w) Below is a relaxed Li3HgPd6 crystal, with properties calculated at the GGA-PBE level.

Output
Symmetry: Cmc2_1
Density of states at the Fermi level: 12.04 states/eV/cell
Magnetization: 0.0 Bohr magnetons per cell

Cell: 7.461 7.461 5.511 Å, 90.00 90.00 101.10°
Sites, in units of the cell vectors:
Li (0.003, 0.997, 0.500)
Li (0.252, 0.500, 0.568)
Li (0.500, 0.252, 0.068)
Li (0.500, 0.748, 0.568)
Li (0.748, 0.500, 0.068)
Li (0.997, 0.003, 0.000)
Hg (0.210, 0.790, 0.227)
Hg (0.790, 0.210, 0.727)
Pd (0.055, 0.468, 0.952)
Pd (0.191, 0.809, 0.733)
Pd (0.204, 0.256, 0.271)
Pd (0.256, 0.204, 0.771)
Pd (0.433, 0.567, 0.000)
Pd (0.468, 0.055, 0.452)
Pd (0.532, 0.945, 0.952)
Pd (0.567, 0.433, 0.500)
Pd (0.744, 0.796, 0.271)
Pd (0.796, 0.744, 0.771)
Pd (0.809, 0.191, 0.233)
Pd (0.945, 0.532, 0.452)


x) Below is a relaxed Li3HgPd6 crystal, with properties calculated at the GGA-PBE level.

Output
Symmetry: P2_1/m
Density of states at the Fermi level: 14.15 states/eV/cell
Magnetization: 0.0 Bohr magnetons per cell

Cell: 7.830 4.247 9.102 Å, 90.00 101.27 90.00°
Sites, in units of the cell vectors:
Li (0.046, 0.250, 0.396)
Li (0.147, 0.750, 0.181)
Li (0.251, 0.250, 0.976)
Li (0.749, 0.750, 0.024)
Li (0.853, 0.250, 0.819)
Li (0.954, 0.750, 0.604)
Hg (0.444, 0.250, 0.605)
Hg (0.556, 0.750, 0.395)
Pd (0.038, 0.750, 0.896)
Pd (0.121, 0.250, 0.692)
Pd (0.223, 0.750, 0.477)
Pd (0.321, 0.250, 0.276)
Pd (0.343, 0.750, 0.789)
Pd (0.437, 0.750, 0.088)
Pd (0.563, 0.250, 0.912)
Pd (0.657, 0.250, 0.211)
Pd (0.679, 0.750, 0.724)
Pd (0.777, 0.250, 0.523)
Pd (0.879, 0.750, 0.308)
Pd (0.962, 0.250, 0.104)


Least stable structure: w)


w) Below is a relaxed LiHg3Pd4 crystal, with properties calculated at the GGA-PBE level.

Output
Symmetry: Imm2
Density of states at the Fermi level: 1.88 states/eV/cell
Magnetization: 0.0 Bohr magnetons per cell

Cell: 6.076 6.076 6.076 Å, 125.90 79.89 126.10°
Sites, in units of the cell vectors:
Li (0.000, 0.000, 0.000)
Hg (0.063, 0.563, 0.500)
Hg (0.066, 0.295, 0.771)
Hg (0.524, 0.295, 0.229)
Pd (0.042, 0.799, 0.243)
Pd (0.556, 0.799, 0.757)
Pd (0.562, 0.308, 0.746)
Pd (0.562, 0.816, 0.254)


x) Below is a relaxed LiHg3Pd4 crystal, with properties calculated at the GGA-PBE level.

Output
Symmetry: C2/m
Density of states at the Fermi level: 1.34 states/eV/cell
Magnetization: 0.0 Bohr magnetons per cell

Cell: 7.992 7.992 4.313 Å, 105.56 105.56 31.30°
Sites, in units of the cell vectors:
Li (0.000, 0.000, 0.000)
Hg (0.248, 0.248, 0.249)
Hg (0.500, 0.500, 0.500)
Hg (0.752, 0.752, 0.751)
Pd (0.121, 0.121, 0.622)
Pd (0.379, 0.379, 0.879)
Pd (0.621, 0.621, 0.121)
Pd (0.879, 0.879, 0.378)


Least stable structure: w)


w) Below is a relaxed LiHg2Pd4 crystal, with properties calculated at the GGA-PBE level.

Output
Symmetry: I4/mmm
Density of states at the Fermi level: 2.23 states/eV/cell
Magnetization: 0.0 Bohr magnetons per cell

Cell: 6.683 6.683 6.683 Å, 138.35 138.35 60.37°
Sites, in units of the cell vectors:
Li (0.000, 0.000, 0.000)
Hg (0.367, 0.367, 0.000)
Hg (0.633, 0.633, 0.000)
Pd (0.000, 0.500, 0.500)
Pd (0.250, 0.750, 0.500)
Pd (0.500, 0.000, 0.500)
Pd (0.750, 0.250, 0.500)


x) Below is a relaxed LiHg2Pd4 crystal, with properties calculated at the GGA-PBE level.

Output
Symmetry: I4/mmm
Density of states at the Fermi level: 1.92 states/eV/cell
Magnetization: 0.0 Bohr magnetons per cell

Cell: 5.656 5.656 5.656 Å, 121.19 121.19 87.95°
Sites, in units of the cell vectors:
Li (0.000, 0.000, 0.000)
Hg (0.000, 0.500, 0.500)
Hg (0.500, 0.000, 0.500)
Pd (0.000, 0.000, 0.500)
Pd (0.000, 0.500, 0.000)
Pd (0.500, 0.000, 0.000)
Pd (0.500, 0.500, 0.500)


Least stable structure: w)


w) Below is a relaxed Li6Hg3Pd crystal, with properties calculated at the GGA-PBE level.

Output
Symmetry: R3m
Density of states at the Fermi level: 4.22 states/eV/cell
Magnetization: 0.0 Bohr magnetons per cell

Cell: 6.770 6.770 6.770 Å, 114.26 114.26 114.26°
Sites, in units of the cell vectors:
Li (0.089, 0.455, 0.455)
Li (0.455, 0.089, 0.455)
Li (0.455, 0.455, 0.089)
Li (0.652, 0.652, 0.882)
Li (0.652, 0.882, 0.652)
Li (0.882, 0.652, 0.652)
Hg (0.024, 0.024, 0.483)
Hg (0.024, 0.483, 0.024)
Hg (0.483, 0.024, 0.024)
Pd (0.231, 0.231, 0.231)


x) Below is a relaxed Li6Hg3Pd crystal, with properties calculated at the GGA-PBE level.

Output
Symmetry: P2_1/m
Density of states at the Fermi level: 6.23 states/eV/cell
Magnetization: 0.0 Bohr magnetons per cell

Cell: 7.702 4.706 9.970 Å, 90.00 110.57 90.00°
Sites, in units of the cell vectors:
Li (0.034, 0.250, 0.411)
Li (0.155, 0.750, 0.186)
Li (0.267, 0.250, 0.012)
Li (0.342, 0.250, 0.314)
Li (0.369, 0.750, 0.809)
Li (0.448, 0.250, 0.626)
Li (0.552, 0.750, 0.374)
Li (0.631, 0.250, 0.191)
Li (0.658, 0.750, 0.686)
Li (0.733, 0.750, 0.988)
Li (0.845, 0.250, 0.814)
Li (0.966, 0.750, 0.589)
Hg (0.055, 0.750, 0.895)
Hg (0.160, 0.250, 0.714)
Hg (0.274, 0.750, 0.487)
Hg (0.726, 0.250, 0.513)
Hg (0.840, 0.750, 0.286)
Hg (0.945, 0.250, 0.105)
Pd (0.450, 0.750, 0.091)
Pd (0.550, 0.250, 0.909)


Least stable structure: w)


w) Below is a relaxed Li6Hg2Pd crystal, with properties calculated at the GGA-PBE level.

Output
Symmetry: P-62m
Density of states at the Fermi level: 3.37 states/eV/cell
Magnetization: 0.0 Bohr magnetons per cell

Cell: 7.786 7.786 2.980 Å, 90.00 90.00 120.00°
Sites, in units of the cell vectors:
Li (0.000, 0.277, 0.000)
Li (0.000, 0.640, 0.500)
Li (0.277, 0.000, 0.000)
Li (0.360, 0.360, 0.500)
Li (0.640, 0.000, 0.500)
Li (0.723, 0.723, 0.000)
Hg (0.333, 0.667, 0.000)
Hg (0.667, 0.333, 0.000)
Pd (0.000, 0.000, 0.500)


x) Below is a relaxed Li6Hg2Pd crystal, with properties calculated at the GGA-PBE level.

Output
Symmetry: P6/mmm
Density of states at the Fermi level: 2.59 states/eV/cell
Magnetization: 0.0 Bohr magnetons per cell

Cell: 7.702 7.702 2.871 Å, 90.00 90.00 120.00°
Sites, in units of the cell vectors:
Li (0.000, 0.323, 0.000)
Li (0.000, 0.677, 0.000)
Li (0.323, 0.000, 0.000)
Li (0.323, 0.323, 0.000)
Li (0.677, 0.000, 0.000)
Li (0.677, 0.677, 0.000)
Hg (0.333, 0.667, 0.500)
Hg (0.667, 0.333, 0.500)
Pd (0.000, 0.000, 0.500)


Least stable structure: x)


w) Below is a relaxed Li2Hg3Pd3 crystal, with properties calculated at the GGA-PBE level.

Output
Symmetry: R3m
Density of states at the Fermi level: 1.34 states/eV/cell
Magnetization: 0.0 Bohr magnetons per cell

Cell: 8.021 8.021 8.021 Å, 33.28 33.28 33.28°
Sites, in units of the cell vectors:
Li (0.000, 0.000, 0.000)
Li (0.495, 0.495, 0.495)
Hg (0.377, 0.377, 0.377)
Hg (0.620, 0.620, 0.620)
Hg (0.865, 0.865, 0.865)
Pd (0.122, 0.122, 0.122)
Pd (0.247, 0.247, 0.247)
Pd (0.743, 0.743, 0.743)


x) Below is a relaxed Li2Hg3Pd3 crystal, with properties calculated at the GGA-PBE level.

Output
Symmetry: Cmcm
Density of states at the Fermi level: 4.30 states/eV/cell
Magnetization: 0.0 Bohr magnetons per cell

Cell: 5.283 5.283 13.601 Å, 90.00 90.00 132.62°
Sites, in units of the cell vectors:
Li (0.227, 0.773, 0.640)
Li (0.227, 0.773, 0.860)
Li (0.773, 0.227, 0.140)
Li (0.773, 0.227, 0.360)
Hg (0.367, 0.633, 0.051)
Hg (0.367, 0.633, 0.449)
Hg (0.464, 0.536, 0.750)
Hg (0.536, 0.464, 0.250)
Hg (0.633, 0.367, 0.551)
Hg (0.633, 0.367, 0.949)
Pd (0.074, 0.926, 0.091)
Pd (0.074, 0.926, 0.409)
Pd (0.248, 0.752, 0.250)
Pd (0.752, 0.248, 0.750)
Pd (0.926, 0.074, 0.591)
Pd (0.926, 0.074, 0.909)


Least stable structure: x)


w) Below is a relaxed Li8Hg2Pd crystal, with properties calculated at the GGA-PBE level.

Output
Symmetry: Immm
Density of states at the Fermi level: 4.33 states/eV/cell
Magnetization: 0.0 Bohr magnetons per cell

Cell: 7.565 7.565 7.565 Å, 145.00 129.23 63.15°
Sites, in units of the cell vectors:
Li (0.140, 0.362, 0.778)
Li (0.160, 0.160, 0.000)
Li (0.274, 0.000, 0.274)
Li (0.416, 0.638, 0.778)
Li (0.584, 0.362, 0.222)
Li (0.726, 0.000, 0.726)
Li (0.840, 0.840, 0.000)
Li (0.860, 0.638, 0.222)
Hg (0.306, 0.806, 0.500)
Hg (0.694, 0.194, 0.500)
Pd (0.000, 0.500, 0.500)


x) Below is a relaxed Li8Hg2Pd crystal, with properties calculated at the GGA-PBE level.

Output
Symmetry: C2/m
Density of states at the Fermi level: 4.28 states/eV/cell
Magnetization: 0.0 Bohr magnetons per cell

Cell: 7.435 7.435 6.531 Å, 107.13 107.13 32.48°
Sites, in units of the cell vectors:
Li (0.036, 0.036, 0.248)
Li (0.140, 0.140, 0.678)
Li (0.329, 0.329, 0.594)
Li (0.404, 0.404, 0.068)
Li (0.596, 0.596, 0.932)
Li (0.671, 0.671, 0.406)
Li (0.860, 0.860, 0.322)
Li (0.964, 0.964, 0.752)
Hg (0.214, 0.214, 0.156)
Hg (0.786, 0.786, 0.844)
Pd (0.500, 0.500, 0.500)


Least stable structure: w)


w) Below is a relaxed LiHg2Pd6 crystal, with properties calculated at the GGA-PBE level.

Output
Symmetry: C2/m
Density of states at the Fermi level: 10.39 states/eV/cell
Magnetization: 0.0 Bohr magnetons per cell

Cell: 5.726 5.726 5.222 Å, 90.10 90.10 59.84°
Sites, in units of the cell vectors:
Li (0.000, 0.000, 0.000)
Hg (0.334, 0.334, 0.807)
Hg (0.666, 0.666, 0.193)
Pd (0.173, 0.652, 0.296)
Pd (0.174, 0.174, 0.295)
Pd (0.348, 0.827, 0.704)
Pd (0.652, 0.173, 0.296)
Pd (0.826, 0.826, 0.705)
Pd (0.827, 0.348, 0.704)


x) Below is a relaxed LiHg2Pd6 crystal, with properties calculated at the GGA-PBE level.

Output
Symmetry: P-1
Density of states at the Fermi level: 7.16 states/eV/cell
Magnetization: 0.0 Bohr magnetons per cell

Cell: 4.905 4.909 7.253 Å, 75.92 82.63 60.31°
Sites, in units of the cell vectors:
Li (0.000, 0.000, 0.000)
Hg (0.317, 0.563, 0.322)
Hg (0.683, 0.437, 0.678)
Pd (0.011, 0.775, 0.671)
Pd (0.328, 0.329, 0.999)
Pd (0.346, 0.106, 0.672)
Pd (0.654, 0.894, 0.328)
Pd (0.672, 0.671, 0.001)
Pd (0.989, 0.225, 0.329)


Least stable structure: w)